(1)
The following is a GGA-PBE calculation of Cs2PbF7 after structural relaxation, from Alexandria via LeMat-Bulk.

POSCAR file:
```
Cs2PbF7
1.0
0.643 -5.888 3.482
7.689 -3.706 -0.907
3.504 0.924 7.694
Cs Pb F
4 2 14
Cartesian
1.779 -2.204 3.180 Cs
7.333 -3.199 6.339 Cs
4.504 -5.471 3.930 Cs
10.058 -6.466 7.089 Cs
7.281 -8.394 4.699 Pb
4.555 -0.277 5.569 Pb
10.159 -3.963 4.875 F
4.988 -4.239 7.913 F
7.264 -6.006 8.733 F
5.033 -0.960 7.534 F
1.677 -4.708 5.394 F
5.364 -4.251 10.148 F
6.849 -4.431 2.356 F
7.455 -6.290 5.016 F
4.381 -2.380 5.253 F
7.005 -2.423 3.398 F
6.803 -7.710 2.735 F
4.573 -2.664 1.536 F
4.832 -6.247 6.871 F
6.472 -4.419 0.121 F
```

Calculated values
For the uncorrected formation energy, the calculation gives -2.14 eV per atom.

=====

(2)
The following is a GGA-PBE calculation of CsPb6F12 after structural relaxation, from Alexandria via LeMat-Bulk.

POSCAR file:
```
CsPb6F12
1.0
7.603 -0.085 -0.119
-1.967 7.345 -0.119
-1.967 -2.534 6.895
F Pb Cs
12 6 1
Cartesian
5.484 -0.470 3.328 F
1.951 2.513 0.993 F
-1.815 5.196 3.328 F
5.484 3.297 0.653 F
1.718 4.617 3.956 F
-0.378 1.917 2.700 F
4.047 2.809 3.956 F
-1.815 1.429 6.003 F
1.951 0.109 2.700 F
1.718 2.213 5.663 F
1.835 6.130 0.653 F
1.835 -1.404 6.003 F
3.816 1.103 1.553 Pb
3.547 0.756 5.103 Pb
-0.147 3.623 5.103 Pb
3.547 4.569 2.395 Pb
0.123 0.158 4.261 Pb
0.123 3.971 1.553 Pb
0.000 0.000 0.000 Cs
```

Calculated values
For the uncorrected formation energy, the calculation gives -2.20 eV per atom. Its density of states at the Fermi level is 5.81 states/eV per cell.

=====

(3)
The following is a GGA-PBE calculation of Cs3Pb5F12 after structural relaxation, from Alexandria via LeMat-Bulk.

POSCAR file:
```
Cs3Pb5F12
1.0
-4.342 12.142 -4.953
-8.955 -9.896 -3.566
0.862 0.687 13.770
Pb F Cs
20 48 12
Cartesian
-6.936 -5.646 1.870 Pb
-1.740 6.415 4.408 Pb
-8.750 4.955 3.765 Pb
-4.047 -4.604 5.102 Pb
-4.478 -4.948 -1.783 Pb
-3.686 -2.021 1.486 Pb
-3.759 2.165 -1.028 Pb
-3.905 -0.246 6.031 Pb
-6.218 1.467 2.626 Pb
-2.102 3.831 8.024 Pb
-5.500 8.580 3.381 Pb
-6.649 1.123 -4.259 Pb
-3.622 8.471 7.888 Pb
0.000 0.000 0.000 Pb
0.431 0.343 6.885 Pb
-10.334 -0.898 -2.773 Pb
-8.814 -5.537 -2.637 Pb
-8.531 3.180 -0.780 Pb
-2.171 6.071 -2.477 Pb
-8.676 0.768 6.279 Pb
-8.045 2.848 -3.100 F
-8.039 -0.793 -3.446 F
-4.982 -2.355 5.680 F
-8.097 -7.729 1.658 F
-7.413 8.315 -2.021 F
-0.857 1.828 8.435 F
-3.912 4.470 -1.657 F
-8.576 -7.868 -2.147 F
-6.824 -4.248 -2.302 F
-8.524 -1.536 6.908 F
-10.701 3.582 3.566 F
-11.654 1.098 -7.021 F
-7.232 2.228 7.510 F
-10.778 -1.979 2.844 F
-10.063 -1.437 -0.457 F
-1.734 -0.649 1.685 F
-4.184 6.654 3.918 F
-8.252 -3.720 1.333 F
-7.454 5.289 -0.428 F
-10.864 3.158 -0.244 F
-9.735 -4.495 5.692 F
-4.339 10.663 3.593 F
-6.292 -5.097 4.109 F
-4.397 3.726 8.697 F
-4.057 7.296 -3.578 F
-8.157 0.597 3.948 F
-7.760 1.424 0.654 F
-11.579 1.105 -3.184 F
-4.208 -2.681 -0.755 F
-2.990 -3.169 9.823 F
-4.391 0.086 8.351 F
-6.706 3.862 3.168 F
-8.379 -4.362 8.829 F
-0.782 1.836 12.272 F
-8.228 5.615 6.006 F
-1.572 -0.224 5.495 F
-3.859 10.802 7.398 F
-6.144 8.030 1.142 F
-5.730 -0.928 2.083 F
-5.611 7.182 7.553 F
-2.373 4.370 5.708 F
-4.278 2.337 1.303 F
-4.676 1.509 4.598 F
-5.203 0.706 -2.258 F
-1.658 4.912 2.408 F
-9.446 6.103 -4.572 F
-2.701 7.428 -0.441 F
-5.023 -5.381 7.273 F
-1.882 2.056 3.480 Cs
-4.703 9.559 -1.337 Cs
-2.028 -0.355 10.538 Cs
-10.554 0.877 1.771 Cs
-7.732 -6.626 6.588 Cs
-10.408 3.289 -5.287 Cs
-6.507 5.482 -3.331 Cs
-5.929 -2.548 8.582 Cs
-7.010 -1.460 -0.643 Cs
-7.806 -2.439 4.075 Cs
-5.426 4.393 5.895 Cs
-4.630 5.373 1.177 Cs
```

Calculated values
For the uncorrected formation energy, the calculation gives -2.31 eV per atom. Its density of states at the Fermi level is 30.64 states/eV per cell.

=====

(4)
The following is a GGA-PBE calculation of CsPbF6 after structural relaxation, from Alexandria via LeMat-Bulk.

POSCAR file:
```
CsPbF6
1.0
-4.036 -3.105 1.139
2.958 -3.875 -1.862
2.140 -1.947 5.486
F Cs Pb
6 1 1
Cartesian
-2.113 -2.844 1.952 F
3.174 -6.083 2.811 F
0.003 -2.059 0.536 F
-1.236 -5.598 4.703 F
1.058 -6.868 4.227 F
2.297 -3.330 0.060 F
0.531 -4.464 2.382 Cs
0.000 0.000 0.000 Pb
```

Calculated values
For the uncorrected formation energy, the calculation gives -1.90 eV per atom. The energy above the lowest structure with this stoichiometry comes out at 0 meV/atom. Its density of states at the Fermi level is 5.36 states/eV per cell.

=====

(5)
The following is a GGA-PBE calculation of Cs4Pb3F10 after structural relaxation, from Alexandria via LeMat-Bulk.

POSCAR file:
```
Cs4Pb3F10
1.0
4.855 0.000 -0.659
-0.090 4.854 -0.659
-0.073 -0.074 17.672
Cs F Pb
4 10 3
Cartesian
1.364 1.390 10.048 Cs
1.988 2.025 14.638 Cs
2.705 2.756 1.715 Cs
3.329 3.390 6.305 Cs
4.080 1.684 11.842 F
4.367 4.448 13.952 F
2.428 0.000 -0.330 F
0.326 0.332 2.401 F
3.713 3.782 9.136 F
-0.045 2.427 -0.330 F
0.613 3.097 4.511 F
1.608 4.111 11.842 F
3.085 0.670 4.511 F
0.980 0.998 7.217 F
0.658 0.671 4.849 Pb
0.000 0.000 0.000 Pb
4.034 4.110 11.504 Pb
```

Calculated values
For the uncorrected formation energy, the calculation gives -2.55 eV per atom. Its density of states at the Fermi level is 0.00 states/eV per cell.

=====

(6)
The following is a GGA-PBE calculation of CsPbF2 after structural relaxation, from Alexandria via LeMat-Bulk.

POSCAR file:
```
CsPbF2
1.0
1.406 -6.748 5.259
4.932 -6.187 3.546
3.870 -3.982 6.659
Cs Pb F
1 1 2
Cartesian
5.104 -8.459 7.732 Cs
0.000 0.000 0.000 Pb
0.953 -1.580 1.444 F
9.255 -15.338 14.019 F
```

Calculated values
For the uncorrected formation energy, the calculation gives -2.04 eV per atom. The energy above the lowest structure with this stoichiometry comes out at 0 meV/atom. Its density of states at the Fermi level is 0.66 states/eV per cell.

=====

(7)
The following is a GGA-PBE calculation of Cs4PbF6 after structural relaxation, from Alexandria via LeMat-Bulk.

POSCAR file:
```
Cs4PbF6
1.0
8.338 0.001 -0.071
0.070 8.337 -0.071
-0.001 -0.001 8.338
Cs F Pb
8 12 2
Cartesian
2.101 2.084 6.218 Cs
0.955 6.253 5.011 Cs
3.273 0.903 2.049 Cs
2.127 5.072 0.842 Cs
6.280 3.266 7.354 Cs
7.452 2.085 3.185 Cs
6.306 6.254 1.978 Cs
5.134 7.434 6.147 Cs
1.839 3.555 3.643 F
0.545 7.724 2.290 F
6.569 4.782 4.553 F
5.982 0.481 0.558 F
3.594 4.648 6.459 F
4.664 1.809 4.727 F
3.744 6.529 3.469 F
7.774 5.978 7.742 F
0.633 2.360 0.455 F
4.813 3.689 1.737 F
2.425 7.857 7.638 F
7.862 0.613 5.906 F
4.204 4.169 4.098 Pb
0.000 0.000 0.000 Pb
```

Calculated values
For the uncorrected formation energy, the calculation gives -2.59 eV per atom. Its density of states at the Fermi level is 0.00 states/eV per cell.

=====

(8)
The following is a GGA-PBE calculation of Cs4PbF5 after structural relaxation, from Alexandria via LeMat-Bulk.

POSCAR file:
```
Cs4PbF5
1.0
-0.801 6.525 -1.299
-2.339 1.821 -6.694
-6.566 2.915 1.411
Cs Pb F
4 1 5
Cartesian
-3.181 2.863 -1.058 Cs
-6.531 8.443 -5.534 Cs
-6.494 5.710 -1.999 Cs
-3.218 5.596 -4.593 Cs
-0.001 0.006 -0.001 Pb
-6.954 8.989 -2.430 F
-3.364 6.144 -1.648 F
-0.396 3.220 -0.641 F
-2.753 2.279 -4.154 F
-6.344 5.124 -4.936 F
```

Calculated values
For the uncorrected formation energy, the calculation gives -2.31 eV per atom. Its density of states at the Fermi level is 0.17 states/eV per cell.